A) ## Pm4HgPd (PBE-GGA)

Data for a relaxed structure of Pm4HgPd.

Cell lengths 9.9107, 9.9107, 9.9107 Å; angles 60.00, 60.00, 60.00 degrees
With the nearest neighbours (Å) after each atom.
Positions (direct):
Pm  0.1859  0.1859  0.8141  2 Hg 3.28, 2 Pm 3.59, 2 Pd 3.59
Pm  0.1859  0.8141  0.1859  2 Hg 3.28, 2 Pm 3.59, 2 Pd 3.59
Pm  0.1859  0.8141  0.8141  2 Hg 3.28, 2 Pm 3.59, 2 Pd 3.59
Pm  0.3956  0.3956  0.3956  3 Pd 2.94
Pm  0.3956  0.3956  0.8133  3 Pd 2.94
Pm  0.3956  0.8133  0.3956  3 Pd 2.94
Pm  0.5581  0.5581  0.9419  2 Pd 2.94
Pm  0.5581  0.9419  0.5581  2 Pd 2.94
Pm  0.5581  0.9419  0.9419  2 Pd 2.94
Pm  0.8133  0.3956  0.3956  3 Pd 2.94
Pm  0.8141  0.1859  0.1859  2 Hg 3.28, 2 Pm 3.59, 2 Pd 3.59
Pm  0.8141  0.1859  0.8141  2 Hg 3.28, 2 Pm 3.59, 2 Pd 3.59
Pm  0.8141  0.8141  0.1859  2 Hg 3.28, 2 Pm 3.59, 2 Pd 3.59
Pm  0.9419  0.5581  0.5581  2 Pd 2.94
Pm  0.9419  0.5581  0.9419  2 Pd 2.94
Pm  0.9419  0.9419  0.5581  2 Pd 2.94
Hg  0.1648  0.1648  0.1648  9 Pm 3.28-3.55, 3 Hg 3.38
Hg  0.1648  0.1648  0.5055  9 Pm 3.28-3.55, 3 Hg 3.38
Hg  0.1648  0.5055  0.1648  9 Pm 3.28-3.55, 3 Hg 3.38
Hg  0.5055  0.1648  0.1648  9 Pm 3.28-3.55, 3 Hg 3.38
Pd  0.1840  0.6053  0.6053  6 Pm 2.94
Pd  0.6053  0.1840  0.6053  6 Pm 2.94
Pd  0.6053  0.6053  0.1840  6 Pm 2.94
Pd  0.6053  0.6053  0.6053  6 Pm 2.94



B) ## Pm4HgPd (PBE-GGA)

Data for a relaxed structure of Pm4HgPd.

Cell lengths 8.3468, 8.3468, 6.0818 Å; angles 103.15, 103.15, 114.94 degrees
With the nearest neighbours (Å) after each atom.
Positions (direct):
Pm  0.0749  0.6967  0.9241  2 Pd 3.18-3.22, 2 Hg 3.26-3.32, 2 Pm 3.41-3.52
Pm  0.2081  0.3578  0.6655  2 Pd 2.92-2.99, 1 Hg 3.25
Pm  0.3033  0.9251  0.5759  2 Pd 3.18-3.22, 2 Hg 3.26-3.32, 2 Pm 3.41-3.52
Pm  0.3578  0.2081  0.1655  2 Pd 2.92-2.99, 1 Hg 3.25
Pm  0.6422  0.7919  0.8345  2 Pd 2.92-2.99, 1 Hg 3.25
Pm  0.6967  0.0749  0.4241  2 Pd 3.18-3.22, 2 Hg 3.26-3.32, 2 Pm 3.41-3.52
Pm  0.7919  0.6422  0.3345  2 Pd 2.92-2.99, 1 Hg 3.25
Pm  0.9251  0.3033  0.0759  2 Pd 3.18-3.22, 2 Hg 3.26-3.32, 2 Pm 3.41-3.52
Hg  0.3820  0.6180  0.2500  8 Pm 3.25-3.32
Hg  0.6180  0.3820  0.7500  8 Pm 3.25-3.32
Pd  0.0006  0.9994  0.7500  8 Pm 2.92-3.22, 2 Pd 3.04
Pd  0.9994  0.0006  0.2500  8 Pm 2.92-3.22, 2 Pd 3.04



Which of them is most stable, and which least? Most stable: A); least stable: B).



A) ## Pm8Hg2Pd (PBE-GGA)

Data for a relaxed structure of Pm8Hg2Pd.

Cell lengths 8.8621, 8.8621, 8.8621 Å; angles 146.50, 120.38, 70.14 degrees
With the nearest neighbours (Å) after each atom.
Positions (direct):
Pm  0.1229  0.1229  0.0000  2 Pd 3.11, 2 Pm 3.41
Pm  0.1232  0.3425  0.7807  3 Hg 3.19-3.27, 1 Pd 3.37, 2 Pm 3.45
Pm  0.3304  0.0000  0.3304  1 Pm 2.99, 2 Hg 3.31
Pm  0.4382  0.6575  0.7807  3 Hg 3.19-3.27, 1 Pd 3.37, 2 Pm 3.45
Pm  0.5618  0.3425  0.2193  3 Hg 3.19-3.27, 1 Pd 3.37, 2 Pm 3.45
Pm  0.6696  0.0000  0.6696  1 Pm 2.99, 2 Hg 3.31
Pm  0.8768  0.6575  0.2193  3 Hg 3.19-3.27, 1 Pd 3.37, 2 Pm 3.45
Pm  0.8771  0.8771  0.0000  2 Pd 3.11, 2 Pm 3.41
Hg  0.2961  0.7961  0.5000  8 Pm 3.19-3.31
Hg  0.7039  0.2039  0.5000  8 Pm 3.19-3.31
Pd  0.0000  0.5000  0.5000  8 Pm 3.11-3.37



B) ## Pm8Hg2Pd (PBE-GGA)

Data for a relaxed structure of Pm8Hg2Pd.

Cell lengths 9.5651, 9.5651, 7.0018 Å; angles 100.75, 100.75, 31.88 degrees
With the nearest neighbours (Å) after each atom.
Positions (direct):
Pm  0.0213  0.0213  0.2707  2 Pd 3.14, 1 Hg 3.15, 3 Pm 3.45-3.50
Pm  0.2021  0.2021  0.8167  3 Hg 3.05-3.37
Pm  0.3454  0.3454  0.5302  1 Pd 2.89, 3 Hg 3.15-3.20
Pm  0.4105  0.4105  0.0493  1 Pd 3.26, 6 Pm 3.49-3.60, 2 Hg 3.62
Pm  0.5895  0.5895  0.9507  1 Pd 3.26, 6 Pm 3.49-3.60, 2 Hg 3.62
Pm  0.6546  0.6546  0.4698  1 Pd 2.89, 3 Hg 3.15-3.20
Pm  0.7979  0.7979  0.1833  3 Hg 3.05-3.37
Pm  0.9787  0.9787  0.7293  2 Pd 3.14, 1 Hg 3.15, 3 Pm 3.45-3.50
Hg  0.1903  0.1903  0.2450  7 Pm 3.05-3.37
Hg  0.8097  0.8097  0.7550  7 Pm 3.05-3.37
Pd  0.5000  0.5000  0.5000  6 Pm 2.89-3.14



Which of them is most stable, and which least? Most stable: B); least stable: A).



A) ## Pm3Hg4Pd2 (PBE-GGA)

Data for a relaxed structure of Pm3Hg4Pd2.

Cell lengths 5.3567, 5.3567, 8.9719 Å; angles 96.66, 96.66, 58.05 degrees
With the nearest neighbours (Å) after each atom.
Positions (direct):
Pm  0.0000  0.0000  0.0000  8 Hg 3.12-3.17
Pm  0.3802  0.3802  0.2973  4 Pd 3.03-3.19, 4 Hg 3.09-3.33
Pm  0.6198  0.6198  0.7027  4 Pd 3.03-3.19, 4 Hg 3.09-3.33
Hg  0.0625  0.0625  0.3556  3 Pd 2.83-2.98, 1 Hg 2.98, 4 Pm 3.09-3.17
Hg  0.3202  0.3202  0.9235  1 Pd 2.83, 3 Pm 3.12-3.16
Hg  0.6798  0.6798  0.0765  1 Pd 2.83, 3 Pm 3.12-3.16
Hg  0.9375  0.9375  0.6444  3 Pd 2.83-2.98, 1 Hg 2.98, 4 Pm 3.09-3.17
Pd  0.2818  0.2818  0.6052  4 Hg 2.83-2.98, 1 Pm 3.03
Pd  0.7182  0.7182  0.3948  4 Hg 2.83-2.98, 1 Pm 3.03



B) ## Pm3Hg4Pd2 (PBE-GGA)

Data for a relaxed structure of Pm3Hg4Pd2.

Cell lengths 6.7075, 6.7075, 9.6795 Å; angles 119.19, 119.19, 36.55 degrees
With the nearest neighbours (Å) after each atom.
Positions (direct):
Pm  0.0000  0.0000  0.0000  4 Pd 3.07, 6 Hg 3.28-3.29
Pm  0.3114  0.3114  0.3767  3 Pd 3.03-3.05, 6 Hg 3.29-3.34
Pm  0.6886  0.6886  0.6233  3 Pd 3.03-3.05, 6 Hg 3.29-3.34
Hg  0.9997  0.9997  0.3400  2 Pd 2.83, 2 Hg 3.09-3.14
Hg  0.0003  0.0003  0.6600  2 Pd 2.83, 2 Hg 3.09-3.14
Hg  0.2799  0.2799  0.9257  1 Pd 2.84, 3 Hg 2.86-3.14
Hg  0.7201  0.7201  0.0743  1 Pd 2.84, 3 Hg 2.86-3.14
Pd  0.3870  0.3870  0.7311  3 Hg 2.83-2.84, 5 Pm 3.03-3.07
Pd  0.6130  0.6130  0.2689  3 Hg 2.83-2.84, 5 Pm 3.03-3.07



Which of them is most stable, and which least? Most stable: B); least stable: A).



A) ## Pm3Hg2Pd4 (PBE-GGA)

Data for a relaxed structure of Pm3Hg2Pd4.

Cell lengths 6.3774, 6.3774, 9.2807 Å; angles 117.46, 117.46, 38.95 degrees
With the nearest neighbours (Å) after each atom.
Positions (direct):
Pm  0.0000  0.0000  0.0000  4 Pd 3.11, 4 Hg 3.35
Pm  0.3577  0.3577  0.3053  7 Pd 3.02-3.13, 2 Hg 3.28
Pm  0.6423  0.6423  0.6947  7 Pd 3.02-3.13, 2 Hg 3.28
Hg  0.3457  0.3457  0.6845  3 Pd 2.74-2.79
Hg  0.6543  0.6543  0.3155  3 Pd 2.74-2.79
Pd  0.0637  0.0637  0.4140  1 Pd 2.70, 2 Hg 2.74
Pd  0.2939  0.2939  0.9461  2 Pd 2.77, 1 Hg 2.79, 3 Pm 3.02-3.03
Pd  0.7061  0.7061  0.0539  2 Pd 2.77, 1 Hg 2.79, 3 Pm 3.02-3.03
Pd  0.9363  0.9363  0.5860  1 Pd 2.70, 2 Hg 2.74



B) ## Pm3Hg2Pd4 (PBE-GGA)

Data for a relaxed structure of Pm3Hg2Pd4.

Cell lengths 5.4594, 5.4594, 9.2850 Å; angles 90.95, 90.95, 48.26 degrees
With the nearest neighbours (Å) after each atom.
Positions (direct):
Pm  0.0000  0.0000  0.0000  6 Pd 3.05-3.12
Pm  0.3695  0.3695  0.6174  6 Pd 2.89-3.21
Pm  0.6305  0.6305  0.3826  6 Pd 2.89-3.21
Hg  0.3306  0.3306  0.2212  5 Pd 2.81-2.85
Hg  0.6694  0.6694  0.7788  5 Pd 2.81-2.85
Pd  0.0755  0.0755  0.6222  1 Pd 2.70, 2 Hg 2.81, 1 Pm 2.93
Pd  0.2946  0.2946  0.9168  3 Hg 2.84-2.85, 2 Pd 2.86, 4 Pm 2.89-3.12
Pd  0.7054  0.7054  0.0832  3 Hg 2.84-2.85, 2 Pd 2.86, 4 Pm 2.89-3.12
Pd  0.9245  0.9245  0.3778  1 Pd 2.70, 2 Hg 2.81, 1 Pm 2.93



Which of them is most stable, and which least? Most stable: A); least stable: B).



A) ## Pm2HgPd (PBE-GGA)

Data for a relaxed structure of Pm2HgPd.

Cell lengths 5.2441, 5.2441, 5.2441 Å; angles 60.00, 60.00, 60.00 degrees
With the nearest neighbours (Å) after each atom.
Positions (direct):
Pm  0.2500  0.2500  0.2500  4 Pd 3.21, 4 Hg 3.21
Pm  0.7500  0.7500  0.7500  4 Pd 3.21, 4 Hg 3.21
Hg  0.0000  0.0000  0.0000  8 Pm 3.21
Pd  0.5000  0.5000  0.5000  8 Pm 3.21



B) ## Pm2HgPd (PBE-GGA)

Data for a relaxed structure of Pm2HgPd.

Cell lengths 8.0398, 8.0398, 8.0398 Å; angles 30.05, 30.05, 30.05 degrees
With the nearest neighbours (Å) after each atom.
Positions (direct):
Pm  0.0000  0.0000  0.0000  3 Pd 2.93, 3 Hg 3.26
Pm  0.1909  0.1909  0.1909  3 Pd 2.90
Hg  0.4290  0.4290  0.4290  6 Pm 3.26
Pd  0.5942  0.5942  0.5942  6 Pm 2.90-2.93



Which of them is most stable, and which least? Most stable: A); least stable: B).